[1]
A geometry-optimized SrBNF2 structure. Source: Alexandria, functional PBE-GGA.

## Properties
For the uncorrected formation energy, the calculation gives -0.06 eV/atom. The total energy comes out at -20.7 eV/cell. Its density of states at the Fermi level is 2.7 states/eV per cell. Its distance to the lowest polymorph of the same formula is 41.85 kcal/mol of atoms.

a = 4.641 Å, b = 4.641 Å, c = 5.255 Å
α = 90.00°, β = 90.00°, γ = 90.00°
Space group P4/mmm (No. 123)
One atom of each set of equivalent atoms:
Sr: 0.000 0.000 0.000 (multiplicity 1)
B: 0.500 0.500 0.500 (multiplicity 1)
N: 0.000 0.000 0.500 (multiplicity 1)
F: 0.000 0.500 0.000 (multiplicity 2)

---

[2]
A geometry-optimized MgCoRu structure. Source: Alexandria, functional PBE-GGA.

## Properties
The total energy comes out at -67.0 eV/cell. Its density of states at the Fermi level is 15.7 states/eV per cell. Its distance to the lowest polymorph of the same formula is 7.07 kcal/mol of atoms.

a = 5.716 Å, b = 5.716 Å, c = 5.716 Å
α = 90.00°, β = 90.00°, γ = 90.00°
Space group F-43m (No. 216)
One atom of each set of equivalent atoms:
Mg: 0.000 0.000 0.000 (multiplicity 4)
Co: 0.250 0.250 0.750 (multiplicity 4)
Ru: 0.000 0.000 0.500 (multiplicity 4)

---

[3]
A geometry-optimized CsCoCl3 structure. Source: Alexandria, functional PBE-GGA.

## Properties
For the uncorrected formation energy, the calculation gives -1.18 eV/atom. The total energy comes out at -77.6 eV/cell. Its density of states at the Fermi level is 26.8 states/eV per cell.

a = 12.796 Å, b = 7.389 Å, c = 5.945 Å
α = 90.00°, β = 90.12°, γ = 90.00°
Space group C2/m (No. 12)
One atom of each set of equivalent atoms:
Cs: 0.167 0.000 0.250 (multiplicity 4)
Co: 0.000 0.500 0.000 (multiplicity 2)
Co: 0.000 0.500 0.500 (multiplicity 2)
Cl: 0.076 0.274 0.750 (multiplicity 8)
Cl: 0.151 0.500 0.251 (multiplicity 4)

---

[4]
A geometry-optimized Pm3Sm12In structure. Source: Alexandria, functional PBE-GGA.

## Properties
The total energy comes out at -74.3 eV/cell. Its density of states at the Fermi level is 22.7 states/eV per cell.

a = 5.064 Å, b = 5.064 Å, c = 20.574 Å
α = 90.00°, β = 90.00°, γ = 90.00°
Space group P4/mmm (No. 123)
One atom of each set of equivalent atoms:
Pm: 0.000 0.000 0.000 (multiplicity 1)
Pm: 0.000 0.000 0.253 (multiplicity 2)
Sm: 0.000 0.500 0.127 (multiplicity 4)
Sm: 0.000 0.500 0.380 (multiplicity 4)
Sm: 0.500 0.500 0.000 (multiplicity 1)
Sm: 0.500 0.500 0.256 (multiplicity 2)
Sm: 0.500 0.500 0.500 (multiplicity 1)
In: 0.000 0.000 0.500 (multiplicity 1)